A geometry-optimized PdPtSe2Br2 structure, computed with PBE.

It has space group Ibam (No. 72), with a = 5.456 Å, b = 19.664 Å, c = 5.457 Å, α = 90.00°, β = 90.00° and γ = 90.00°. The distinct sites, in fractional coordinates, are Pd at (0.000, 0.000, 0.250), Pt at (0.000, 0.500, 0.250), Se at (0.238, 0.413, 0.000) and Br at (0.236, 0.171, 0.000).

As for the electronic total energy: -3.5710 eV/atom. For the spin magnetization, the calculation gives 0.00 μB/cell. The calculation puts the uncorrected formation energy at 0.020 eV/atom. As for the density of states at the Fermi level: 4.85 states/eV/f.u. As for the crystal system: orthorhombic.